No. 1
Computed, not measured: crystalline Y2PaHg at its relaxed geometry at the GGA-PBE level of DFT.

Structure (CIF):
```
data_Y2PaHg
_cell_length_a 3.3262
_cell_length_b 3.3262
_cell_length_c 34.8020
_cell_angle_alpha 90.00
_cell_angle_beta 90.00
_cell_angle_gamma 120.00
_space_group_name_H-M_alt 'R -3 m'
_space_group_IT_number 166
_space_group_name_Hall '-R 3 2"'
loop_
_atom_site_label
_atom_site_fract_x
_atom_site_fract_y
_atom_site_fract_z
Y1 0.0000 0.0000 0.0932
Pa1 0.0000 0.0000 0.0000
Hg1 0.0000 0.0000 0.5000
```

Results
**Total energy**: -5.4957 eV/atom
**ΔH_f (0 K)**: 0.1858 eV/atom

No. 2
Computed, not measured: crystalline BaTiI2N at its relaxed geometry at the GGA-PBE level of DFT.

Structure (CIF):
```
data_BaTiI2N
_cell_length_a 5.938
_cell_length_b 5.938
_cell_length_c 3.935
_cell_angle_alpha 90.00
_cell_angle_beta 90.00
_cell_angle_gamma 90.00
_space_group_name_H-M_alt 'P 4/m m m'
_space_group_IT_number 123
_space_group_name_Hall '-P 4 2'
loop_
_atom_site_label
_atom_site_fract_x
_atom_site_fract_y
_atom_site_fract_z
Ba1 0.000 0.000 0.000
Ti1 0.500 0.500 0.500
I1 0.000 0.500 0.500
N1 0.500 0.500 0.000
```

Results
**Formation energy (no corrections)**: -0.80 eV/atom
**Total energy**: -5.0447 eV/atom

No. 3
Computed, not measured: crystalline V3Sn at its relaxed geometry at the GGA-PBE level of DFT.

Structure (CIF):
```
data_V3Sn
_cell_length_a 5.6479
_cell_length_b 5.6479
_cell_length_c 4.5246
_cell_angle_alpha 90.00
_cell_angle_beta 90.00
_cell_angle_gamma 120.00
_space_group_name_H-M_alt 'P 63/m m c'
_space_group_IT_number 194
_space_group_name_Hall '-P 6c 2c'
loop_
_atom_site_label
_atom_site_fract_x
_atom_site_fract_y
_atom_site_fract_z
V1 0.1498 0.2996 0.2500
Sn1 0.3333 0.6667 0.7500
```

Results
**Total energy**: -7.8645 eV/atom
**ΔH_f (0 K)**: -0.0249 eV/atom

No. 4
Computed, not measured: crystalline Th5In4Ag at its relaxed geometry at the GGA-PBE level of DFT.

Structure (CIF):
```
data_Th5In4Ag
_cell_length_a 3.488
_cell_length_b 3.488
_cell_length_c 22.982
_cell_angle_alpha 90.00
_cell_angle_beta 90.00
_cell_angle_gamma 90.00
_space_group_name_H-M_alt 'P 4/m m m'
_space_group_IT_number 123
_space_group_name_Hall '-P 4 2'
loop_
_atom_site_label
_atom_site_fract_x
_atom_site_fract_y
_atom_site_fract_z
Th1 0.000 0.000 0.000
Th2 0.000 0.000 0.203
Th3 0.000 0.000 0.406
In1 0.500 0.500 0.101
In2 0.500 0.500 0.305
Ag1 0.500 0.500 0.500
```

Results
**Total energy**: -5.3272 eV/atom
**ΔH_f (0 K)**: -0.2368 eV/atom

No. 5
Computed, not measured: crystalline Pm6SbP3Se2 at its relaxed geometry at the GGA-PBE level of DFT.

Structure (CIF):
```
data_Pm6SbP3Se2
_cell_length_a 18.462
_cell_length_b 4.197
_cell_length_c 8.486
_cell_angle_alpha 90.00
_cell_angle_beta 104.21
_cell_angle_gamma 90.00
_space_group_name_H-M_alt 'C 1 2/m 1'
_space_group_IT_number 12
_space_group_name_Hall '-C 2y'
loop_
_atom_site_label
_atom_site_fract_x
_atom_site_fract_y
_atom_site_fract_z
Pm1 0.003 0.000 0.235
Pm2 0.162 0.500 0.094
Pm3 0.173 0.500 0.574
Sb1 0.000 0.500 0.500
P1 0.000 0.500 0.000
P2 0.167 0.000 0.332
Se1 0.168 0.000 0.836
```

Results
**Formation energy (no corrections)**: -1.64 eV/atom
**Total energy**: -6.2943 eV/atom

No. 6
Computed, not measured: crystalline Tm2ThCo9 at its relaxed geometry at the GGA-PBE level of DFT.

Structure (CIF):
```
data_Tm2ThCo9
_cell_length_a 4.9678
_cell_length_b 4.9678
_cell_length_c 24.4191
_cell_angle_alpha 90.00
_cell_angle_beta 90.00
_cell_angle_gamma 120.00
_space_group_name_H-M_alt 'R -3 m'
_space_group_IT_number 166
_space_group_name_Hall '-R 3 2"'
loop_
_atom_site_label
_atom_site_fract_x
_atom_site_fract_y
_atom_site_fract_z
Tm1 0.0000 0.0000 0.1408
Th1 0.0000 0.0000 0.0000
Co1 0.0000 0.0000 0.3350
Co2 0.0000 0.0000 0.5000
Co3 0.0040 0.5020 0.9170
```

Results
**Total energy**: -6.9140 eV/atom
**ΔH_f (0 K)**: -0.2210 eV/atom

No. 7
Computed, not measured: crystalline Rb3TlS3 at its relaxed geometry at the GGA-PBE level of DFT.

Structure (CIF):
```
data_Rb3TlS3
_cell_length_a 9.124
_cell_length_b 13.959
_cell_length_c 8.030
_cell_angle_alpha 90.00
_cell_angle_beta 100.75
_cell_angle_gamma 90.00
_space_group_name_H-M_alt 'C 1 2/m 1'
_space_group_IT_number 12
_space_group_name_Hall '-C 2y'
loop_
_atom_site_label
_atom_site_fract_x
_atom_site_fract_y
_atom_site_fract_z
Rb1 0.000 0.177 0.000
Rb2 0.000 0.239 0.500
Rb3 0.112 0.500 0.853
Tl1 0.185 0.000 0.647
S1 0.099 0.000 0.316
S2 0.193 0.350 0.223
```

Results
**Formation energy (no corrections)**: -0.87 eV/atom
**Total energy**: -3.3938 eV/atom

No. 8
Computed, not measured: crystalline MnCr2Ag at its relaxed geometry at the GGA-PBE level of DFT.

Structure (CIF):
```
data_MnCr2Ag
_cell_length_a 8.938
_cell_length_b 2.793
_cell_length_c 4.593
_cell_angle_alpha 90.00
_cell_angle_beta 101.63
_cell_angle_gamma 90.00
_space_group_name_H-M_alt 'C 1 2/m 1'
_space_group_IT_number 12
_space_group_name_Hall '-C 2y'
loop_
_atom_site_label
_atom_site_fract_x
_atom_site_fract_y
_atom_site_fract_z
Mn1 0.000 0.000 0.000
Cr1 0.244 0.500 0.182
Ag1 0.000 0.500 0.500
```

Results
**Total energy**: -7.2759 eV/atom
**ΔH_f (0 K)**: 0.5410 eV/atom

Please write out number 5 again, unchanged.
Computed, not measured: crystalline Pm6SbP3Se2 at its relaxed geometry at the GGA-PBE level of DFT.

Structure (CIF):
```
data_Pm6SbP3Se2
_cell_length_a 18.462
_cell_length_b 4.197
_cell_length_c 8.486
_cell_angle_alpha 90.00
_cell_angle_beta 104.21
_cell_angle_gamma 90.00
_space_group_name_H-M_alt 'C 1 2/m 1'
_space_group_IT_number 12
_space_group_name_Hall '-C 2y'
loop_
_atom_site_label
_atom_site_fract_x
_atom_site_fract_y
_atom_site_fract_z
Pm1 0.003 0.000 0.235
Pm2 0.162 0.500 0.094
Pm3 0.173 0.500 0.574
Sb1 0.000 0.500 0.500
P1 0.000 0.500 0.000
P2 0.167 0.000 0.332
Se1 0.168 0.000 0.836
```

Results
**Formation energy (no corrections)**: -1.64 eV/atom
**Total energy**: -6.2943 eV/atom

Question: Which value of total energy does entry 2 give?
Answer: -5.0447 eV/atom

Question: total energy of number 5 (Pm6SbP3Se2)?
Answer: -6.2943 eV/atom